1.
Computed, not measured: a relaxed structure of ZrAgRu2 at the PBE level of DFT. Values from VASP.

Cell and atoms, written as Quantum ESPRESSO input:
```
&SYSTEM
  ibrav = 0, nat = 4, ntyp = 3
/
ATOMIC_SPECIES
Ru 101.07 Ru.upf
Ag 107.87 Ag.upf
Zr 91.22 Zr.upf
CELL_PARAMETERS angstrom
5.088 0.001 0.041
4.155 2.936 0.041
1.175 0.373 4.484
ATOMIC_POSITIONS crystal
Ru 0.741 0.741 0.772
Ag 0.257 0.257 0.248
Ru 0.010 0.010 0.974
Zr 0.493 0.493 0.506
```

Values from the calculation:
Its space group is Cm, No. 8. The calculation puts the relative energy among the computed polymorphs at 100.9 meV per atom. The calculation puts the total magnetic moment at 0.000 μB/f.u. Its formation energy is 0.09 eV/atom. As for the theoretical density: 10.0 g cm⁻³. As for the total energy: -7.4009 eV per atom.

=====

2.
Computed, not measured: a relaxed structure of Pm2Pr2YTm at the PBE level of DFT. Values from VASP.

Cell and atoms, written as Quantum ESPRESSO input:
```
&SYSTEM
  ibrav = 0, nat = 12, ntyp = 4
/
ATOMIC_SPECIES
Pr 140.91 Pr.upf
Y 88.91 Y.upf
Pm 145.00 Pm.upf
Tm 168.93 Tm.upf
CELL_PARAMETERS angstrom
5.723 0.000 0.000
0.000 7.121 0.000
0.000 0.000 9.941
ATOMIC_POSITIONS crystal
Pr 0.000 0.757 0.824
Y 0.000 0.508 0.500
Y 0.000 0.008 0.500
Pm 0.000 0.757 0.164
Pm 0.500 0.258 0.332
Pm 0.000 0.257 0.836
Pr 0.500 0.507 0.000
Pr 0.500 0.007 0.000
Tm 0.500 0.758 0.340
Pr 0.000 0.257 0.176
Tm 0.500 0.258 0.660
Pm 0.500 0.758 0.668
```

Values from the calculation:
Its space group is Pmma, No. 51. The calculation puts the total magnetic moment at 0.000 μB/f.u. Its formation energy is 0.06 eV/atom. As for the theoretical density: 6.8 g cm⁻³. As for the total energy: -4.9436 eV per atom.

=====

3.
Computed, not measured: a relaxed structure of Pm2PrMg2In2 at the PBE level of DFT. Values from VASP.

Cell and atoms, written as Quantum ESPRESSO input:
```
&SYSTEM
  ibrav = 0, nat = 7, ntyp = 4
/
ATOMIC_SPECIES
Mg 24.30 Mg.upf
Pm 145.00 Pm.upf
In 114.82 In.upf
Pr 140.91 Pr.upf
CELL_PARAMETERS angstrom
5.054 0.000 0.000
2.527 4.377 0.000
2.527 1.459 9.050
ATOMIC_POSITIONS crystal
Mg 0.402 0.402 0.794
Pm 0.130 0.130 0.610
In 0.738 0.738 0.787
Mg 0.598 0.598 0.206
In 0.262 0.262 0.213
Pm 0.870 0.870 0.390
Pr 0.000 0.000 0.000
```

Values from the calculation:
Its space group is R-3m, No. 166. The calculation puts the total magnetic moment at 0.000 μB/f.u. Its formation energy is -0.26 eV/atom. As for the theoretical density: 5.9 g cm⁻³. As for the total energy: -3.5417 eV per atom.